Entry 1:
A plane-wave DFT calculation with GGA-PBE was carried out for crystalline Hf2AlTl2Te6 at its relaxed geometry.

Properties
VASP energy in eV per atom: -4.87
Space-group type: No. 12
Formation energy from raw total energies in eV/f.u.: -6.363
D(E_F) in states/eV per atom: 0.245

Structure (extended XYZ):
```
11
Lattice="7.1992 -0.0394 0.0487 -3.5925 6.2389 0.0487 -1.3016 -2.2373 8.1994" Properties=species:S:1:pos:R:3 pbc="T T T"
Hf -0.7034 3.0609 4.1484
Hf 3.0085 0.9013 4.1484
Al -0.6508 -1.1186 4.0997
Tl 5.3941 1.0107 0.0487
Tl -1.7874 5.1888 0.0487
Te 1.7592 3.0239 5.7366
Te -1.8115 0.9200 5.7680
Te 0.5459 0.9383 2.5602
Te 1.6951 -1.1200 5.7680
Te 4.1166 3.0422 2.5288
Te 0.6100 5.0822 2.5288
```


Entry 2:
A plane-wave DFT calculation with GGA-PBE was carried out for crystalline LiIrPdPb at its relaxed geometry.

Properties
E_form in eV/atom: -0.105
VASP energy in eV per atom: -5.02
Space-group type: No. 216
D(E_F) in states/eV per atom: 0.505

Structure (extended XYZ):
```
4
Lattice="4.5379 0.0000 0.0000 2.2690 3.9300 0.0000 2.2690 1.3100 3.7052" Properties=species:S:1:pos:R:3 pbc="T T T"
Pb 4.5379 2.6200 1.8526
Ir 2.2690 1.3100 0.9263
Pd 6.8069 3.9300 2.7789
Li 0.0000 0.0000 0.0000
```


Entry 3:
A plane-wave DFT calculation with GGA-PBE was carried out for crystalline BaBe8As6 at its relaxed geometry.

Properties
E_form in eV/atom: -0.217
VASP energy in eV per atom: -4.19
Space-group type: No. 148
D(E_F) in states/eV per atom: 0.014

Structure (extended XYZ):
```
15
Lattice="-1.0047 1.2735 -6.3022 6.4936 -0.3499 -0.2451 -1.1891 -6.3935 -0.2416" Properties=species:S:1:pos:R:3 pbc="T T T"
Ba 0.0000 0.0000 0.0000
Be 1.4276 -1.8161 -2.2540
Be 2.8722 -3.6538 -4.5348
Be 2.2268 -3.8612 -1.3763
Be -0.0453 -2.3654 -4.0205
Be 3.2839 -0.7262 -3.2326
Be 2.0730 -1.6087 -5.4126
Be 4.3450 -3.1044 -2.7684
Be 1.0158 -4.7436 -3.5563
As 1.0741 -0.2819 -3.7963
As 3.3219 -1.8271 -1.1276
As -0.0370 -3.4363 -1.9585
As 3.2257 -5.1880 -2.9926
As 0.9778 -3.6428 -5.6613
As 4.3368 -2.0336 -4.8304
```


Entry 4:
A plane-wave DFT calculation with GGA-PBE was carried out for crystalline Cr2SiBr at its relaxed geometry.

Properties
Relative energy among the computed polymorphs in eV per atom: 0.4055
VASP energy in eV per atom: -6.03
Space-group type: No. 12
Formation energy from raw total energies in eV/f.u.: 2.209
D(E_F) in states/eV per atom: 0.618

Structure (extended XYZ):
```
4
Lattice="4.8889 -0.0140 -0.0273 0.0371 4.8888 -0.0273 0.6023 0.5960 3.0275" Properties=species:S:1:pos:R:3 pbc="T T T"
Br 0.3197 2.7424 1.5001
Cr 0.0000 0.0000 0.0000
Cr 2.4630 2.4374 -0.0273
Si 2.7456 0.2910 1.5001
```


Entry 5:
A plane-wave DFT calculation with GGA-PBE was carried out for crystalline Pm6PrTm6 at its relaxed geometry.

Properties
E_form in eV/atom: 0.249
VASP energy in eV per atom: -4.38
Space-group type: No. 191
D(E_F) in states/eV per atom: 2.075

Structure (extended XYZ):
```
13
Lattice="6.7065 0.0004 0.0000 -3.3521 5.8087 0.0000 0.0000 0.0000 11.4072" Properties=species:S:1:pos:R:3 pbc="T T T"
Pm 0.0000 0.0000 7.4591
Pm 0.0000 0.0000 3.9481
Pm 0.0012 3.8723 0.0000
Pm 3.3532 1.9367 0.0000
Pm -0.0007 3.8734 5.7036
Pm 3.3551 1.9357 5.7036
Pr 0.0000 0.0000 0.0000
Tm -1.6761 2.9043 8.5999
Tm 3.3533 0.0002 8.5999
Tm 1.6772 2.9045 8.5985
Tm 3.3533 0.0002 2.8073
Tm -1.6761 2.9043 2.8073
Tm 1.6772 2.9045 2.8087
```


Entry 6:
A plane-wave DFT calculation with GGA-PBE was carried out for crystalline La12Tb3Nd at its relaxed geometry.

Properties
E_form in eV/atom: 0.008
VASP energy in eV per atom: -4.85
Space-group type: No. 123
D(E_F) in states/eV per atom: 1.524

Structure (extended XYZ):
```
16
Lattice="5.2235 0.0000 0.0000 0.0000 5.2235 0.0000 0.0000 0.0000 20.8812" Properties=species:S:1:pos:R:3 pbc="T T T"
La 2.6117 2.6117 0.0000
La 2.6117 2.6117 5.2416
La 2.6117 2.6117 10.4406
La 2.6117 2.6117 15.6397
La 2.6117 0.0000 2.6389
La 2.6117 0.0000 7.8438
La 2.6117 0.0000 13.0374
La 2.6117 0.0000 18.2424
La 0.0000 2.6117 2.6389
La 0.0000 2.6117 7.8438
La 0.0000 2.6117 13.0374
La 0.0000 2.6117 18.2424
Tb 0.0000 0.0000 5.2420
Tb 0.0000 0.0000 10.4406
Tb 0.0000 0.0000 15.6392
Nd 0.0000 0.0000 0.0000
```


Entry 7:
A plane-wave DFT calculation with GGA-PBE was carried out for crystalline Tl4Te3Au at its relaxed geometry.

Properties
VASP energy in eV per atom: -2.99
Space-group type: No. 140
Formation energy from raw total energies in eV/f.u.: -1.752
D(E_F) in states/eV per atom: 0.389

Structure (extended XYZ):
```
16
Lattice="5.8561 0.0000 2.0738 2.9280 9.0612 1.0369 -0.0968 0.0000 9.5784" Properties=species:S:1:pos:R:3 pbc="T T T"
Tl 3.2533 2.8433 9.4234
Tl 5.4340 6.2179 3.2657
Tl 6.7084 7.7968 8.9720
Tl 0.8524 1.2644 6.8982
Tl 1.9789 1.2644 3.7171
Tl 7.8350 7.7968 5.7910
Tl 5.4340 2.8433 3.2657
Tl 3.2533 6.2179 9.4234
Te 4.3921 0.0000 1.5554
Te 1.4640 0.0000 0.5185
Te 4.3437 6.9955 6.3446
Te 4.3437 2.0658 6.3446
Te 2.2384 4.5306 2.9842
Te 6.4489 4.5306 9.7050
Au 5.8077 4.5306 6.8630
Au 2.8796 4.5306 5.8261
```


Entry 8:
A plane-wave DFT calculation with GGA-PBE was carried out for crystalline Cd3BiPd7 at its relaxed geometry.

Properties
E_form in eV/atom: -0.120
VASP energy in eV per atom: -4.03
Space-group type: No. 12
D(E_F) in states/eV per atom: 0.501

Structure (extended XYZ):
```
11
Lattice="-2.2231 -3.6771 3.0603 5.9608 3.2437 2.4045 -2.7078 6.6673 0.2210" Properties=species:S:1:pos:R:3 pbc="T T T"
Cd 4.1021 3.9778 1.9363
Cd -1.1116 -1.8386 1.5302
Cd -0.8491 5.9332 0.6892
Bi 0.5150 3.1170 2.8429
Pd -0.1670 0.6682 1.7107
Pd -1.8872 2.8911 1.3159
Pd -1.5073 5.0902 3.2554
Pd 2.5372 1.1437 2.4304
Pd 1.6265 4.9555 1.3127
Pd 2.9172 3.3428 4.3698
Pd 1.1969 5.5658 3.9751
```